First-principles (PBE-GGA) data for a geometry-optimized K2RbZrBr8 structure, as listed in Alexandria via LeMat-Bulk.

abc: 7.584 6.356 10.136
angles: 89.73 90.07 90.42
Fractional positions:
Br (0.126, 0.758, 0.810)
Br (0.123, 0.755, 0.192)
Br (0.877, 0.245, 0.808)
K (0.500, 0.502, 0.221)
Zr (0.000, 0.000, 0.000)
Br (0.874, 0.242, 0.190)
K (0.500, 0.498, 0.779)
Rb (0.000, 0.000, 0.500)
Br (0.303, 0.210, 0.002)
Br (0.697, 0.790, 0.998)
Br (0.510, 0.762, 0.500)
Br (0.490, 0.238, 0.500)

Values from the calculation:
total magnetization = 0.017 μB per atom
raw total energy = -42.12 eV for the cell shown
crystal system = triclinic